Entry 1:
# Zr3AgTe5 | OQMD | PBE-GGA | relaxed
# M_tot = 0.33 μB per formula unit
# V = 287.7 Å³/cell
# Crystal system = hexagonal
# Space group = P6/mmm
# E_tot = -5.389 eV/atom
data_Zr3AgTe5
_cell_length_a 6.306
_cell_length_b 6.306
_cell_length_c 8.355
_cell_angle_alpha 90.00
_cell_angle_beta 90.00
_cell_angle_gamma 120.00
_space_group_name_H-M_alt 'P 1'
_space_group_IT_number 1
_space_group_name_Hall 'P 1'
loop_
_atom_site_label
_atom_site_type_symbol
_atom_site_fract_x
_atom_site_fract_y
_atom_site_fract_z
_atom_site_occupancy
Zr1 Zr 0.000 0.500 0.000 1
Zr2 Zr 0.500 0.000 0.000 1
Zr3 Zr 0.500 0.500 0.000 1
Ag1 Ag 0.000 0.000 0.500 1
Te1 Te 0.000 0.000 0.000 1
Te2 Te 0.333 0.667 0.272 1
Te3 Te 0.333 0.667 0.728 1
Te4 Te 0.667 0.333 0.272 1
Te5 Te 0.667 0.333 0.728 1

=====

Entry 2:
# HoPd2Pb | OQMD | PBE-GGA | relaxed
# M_tot = 0.00 μB per formula unit
# V = 167.0 Å³/cell
# Crystal system = orthorhombic
# Space group = Pmn2_1
# E_tot = -5.326 eV/atom
data_HoPd2Pb
_cell_length_a 4.500
_cell_length_b 6.167
_cell_length_c 6.018
_cell_angle_alpha 90.00
_cell_angle_beta 90.00
_cell_angle_gamma 90.00
_space_group_name_H-M_alt 'P 1'
_space_group_IT_number 1
_space_group_name_Hall 'P 1'
loop_
_atom_site_label
_atom_site_type_symbol
_atom_site_fract_x
_atom_site_fract_y
_atom_site_fract_z
_atom_site_occupancy
Ho1 Ho 0.000 0.082 0.000 1
Ho2 Ho 0.500 0.918 0.500 1
Pd1 Pd 0.000 0.212 0.482 1
Pd2 Pd 0.000 0.706 0.281 1
Pd3 Pd 0.500 0.294 0.781 1
Pd4 Pd 0.500 0.788 0.982 1
Pb1 Pb 0.000 0.594 0.756 1
Pb2 Pb 0.500 0.406 0.256 1

=====

Entry 3:
# PrNd2GaBr3 | OQMD | PBE-GGA | relaxed
# M_tot = 0.00 μB per formula unit
# V = 218.1 Å³/cell
# Crystal system = tetragonal
# Space group = P4/mmm
# E_tot = -4.514 eV/atom
data_PrNd2GaBr3
_cell_length_a 6.019
_cell_length_b 6.019
_cell_length_c 6.021
_cell_angle_alpha 90.00
_cell_angle_beta 90.00
_cell_angle_gamma 90.00
_space_group_name_H-M_alt 'P 1'
_space_group_IT_number 1
_space_group_name_Hall 'P 1'
loop_
_atom_site_label
_atom_site_type_symbol
_atom_site_fract_x
_atom_site_fract_y
_atom_site_fract_z
_atom_site_occupancy
Pr1 Pr 0.000 0.000 0.000 1
Nd1 Nd 0.000 0.500 0.500 1
Nd2 Nd 0.500 0.000 0.500 1
Ga1 Ga 0.000 0.000 0.500 1
Br1 Br 0.000 0.500 0.000 1
Br2 Br 0.500 0.000 0.000 1
Br3 Br 0.500 0.500 0.500 1

=====

Entry 4:
# BaZrZnS3 | OQMD | PBE-GGA | relaxed
# M_tot = 1.33 μB per formula unit
# V = 271.1 Å³/cell
# Crystal system = orthorhombic
# Space group = Cmcm
# E_tot = -5.275 eV/atom
data_BaZrZnS3
_cell_length_a 7.262
_cell_length_b 7.262
_cell_length_c 9.946
_cell_angle_alpha 90.00
_cell_angle_beta 90.00
_cell_angle_gamma 148.89
_space_group_name_H-M_alt 'P 1'
_space_group_IT_number 1
_space_group_name_Hall 'P 1'
loop_
_atom_site_label
_atom_site_type_symbol
_atom_site_fract_x
_atom_site_fract_y
_atom_site_fract_z
_atom_site_occupancy
Ba1 Ba 0.248 0.752 0.750 1
Ba2 Ba 0.752 0.248 0.250 1
Zr1 Zr 0.000 0.000 0.000 1
Zr2 Zr 0.000 0.000 0.500 1
Zn1 Zn 0.469 0.531 0.250 1
Zn2 Zn 0.531 0.469 0.750 1
S1 S 0.069 0.931 0.250 1
S2 S 0.371 0.629 0.058 1
S3 S 0.371 0.629 0.442 1
S4 S 0.629 0.371 0.558 1
S5 S 0.629 0.371 0.942 1
S6 S 0.931 0.069 0.750 1

=====

Entry 5:
# LaNdTl2Pt4 | OQMD | PBE-GGA | relaxed
# M_tot = 0.00 μB per formula unit
# V = 178.3 Å³/cell
# Crystal system = hexagonal
# Space group = P-6m2
# E_tot = -5.556 eV/atom
data_LaNdTl2Pt4
_cell_length_a 4.714
_cell_length_b 4.714
_cell_length_c 9.265
_cell_angle_alpha 90.00
_cell_angle_beta 90.00
_cell_angle_gamma 120.00
_space_group_name_H-M_alt 'P 1'
_space_group_IT_number 1
_space_group_name_Hall 'P 1'
loop_
_atom_site_label
_atom_site_type_symbol
_atom_site_fract_x
_atom_site_fract_y
_atom_site_fract_z
_atom_site_occupancy
La1 La 0.000 0.000 0.000 1
Nd1 Nd 0.667 0.333 0.500 1
Tl1 Tl 0.333 0.667 0.253 1
Tl2 Tl 0.333 0.667 0.747 1
Pt1 Pt 0.000 0.000 0.346 1
Pt2 Pt 0.000 0.000 0.654 1
Pt3 Pt 0.667 0.333 0.157 1
Pt4 Pt 0.667 0.333 0.843 1

=====

Entry 6:
# Hf2Co3Mo4C3 | OQMD | PBE-GGA | relaxed
# M_tot = 0.09 μB per formula unit
# V = 308.8 Å³/cell
# Crystal system = monoclinic
# Space group = C2/c
# E_tot = -9.571 eV/atom
data_Hf2Co3Mo4C3
_cell_length_a 5.247
_cell_length_b 5.247
_cell_length_c 13.329
_cell_angle_alpha 101.64
_cell_angle_beta 101.64
_cell_angle_gamma 59.92
_space_group_name_H-M_alt 'P 1'
_space_group_IT_number 1
_space_group_name_Hall 'P 1'
loop_
_atom_site_label
_atom_site_type_symbol
_atom_site_fract_x
_atom_site_fract_y
_atom_site_fract_z
_atom_site_occupancy
Hf1 Hf 0.042 0.876 0.623 1
Hf2 Hf 0.124 0.958 0.877 1
Hf3 Hf 0.876 0.042 0.123 1
Hf4 Hf 0.958 0.124 0.377 1
Co1 Co 0.088 0.393 0.751 1
Co2 Co 0.393 0.088 0.251 1
Co3 Co 0.430 0.570 0.250 1
Co4 Co 0.570 0.430 0.750 1
Co5 Co 0.607 0.912 0.749 1
Co6 Co 0.912 0.607 0.249 1
Mo1 Mo 0.194 0.357 0.087 1
Mo2 Mo 0.298 0.479 0.413 1
Mo3 Mo 0.357 0.194 0.587 1
Mo4 Mo 0.479 0.298 0.913 1
Mo5 Mo 0.521 0.702 0.087 1
Mo6 Mo 0.643 0.806 0.413 1
Mo7 Mo 0.702 0.521 0.587 1
Mo8 Mo 0.806 0.643 0.913 1
C1 C 0.000 0.500 0.500 1
C2 C 0.161 0.678 0.000 1
C3 C 0.322 0.839 0.500 1
C4 C 0.500 0.000 0.000 1
C5 C 0.678 0.161 0.500 1
C6 C 0.839 0.322 0.000 1